DFT (PBE) results for a relaxed structure of Cs2LiHSe.

Structure (POSCAR):
```
Cs2LiHSe
1.0
12.1489 0.0000 0.0000
0.0000 4.6239 0.0000
-3.6609 0.0000 5.6799
Cs Li H Se
4 2 2 2
Direct
0.0000 0.0000 0.0000
0.1357 0.5000 0.6348
0.5000 0.5000 0.0000
0.6357 0.0000 0.6348
0.3176 0.0000 0.4487
0.8176 0.5000 0.4487
0.3193 0.0000 0.7194
0.8193 0.5000 0.7194
0.3161 0.5000 0.2996
0.8161 0.0000 0.2996
```

Relative energy among the computed polymorphs   0.17 eV/f.u.



DFT (PBE) results for a relaxed structure of Mg2CrAu.

Structure (POSCAR):
```
Mg2CrAu
1.0
3.2396 0.0000 0.0000
0.0000 3.7529 0.0000
0.0000 0.0000 6.1433
Mg Cr Au
2 1 1
Direct
0.0000 0.0000 0.0000
0.5000 0.5000 0.2894
0.5000 0.5000 0.7580
0.0000 0.0000 0.5222
```

Energy of formation from the pure elements   0.0133 eV per atom



DFT (PBE) results for a relaxed structure of Pr4ThSe7.

Structure (POSCAR):
```
Pr4ThSe7
1.0
6.9982 -2.0710 0.0000
6.9982 2.0710 0.0000
-3.1868 0.0000 12.1575
Pr Th Se
4 1 7
Direct
0.0000 0.0000 0.0000
0.1866 0.1866 0.7626
0.5895 0.5895 0.3939
0.8859 0.8859 0.5765
0.7722 0.7722 0.1536
0.1494 0.1494 0.2283
0.2274 0.2274 0.5266
0.3846 0.3846 0.0775
0.5465 0.5465 0.6269
0.6319 0.6319 0.9296
0.8454 0.8454 0.7933
0.9273 0.9273 0.3568
```

Formation energy from raw total energies   -1.8181 eV/atom



DFT (PBE) results for a relaxed structure of Pm2NbC.

Structure (POSCAR):
```
Pm2NbC
1.0
3.4451 0.0000 0.0000
-1.7225 2.9835 0.0000
0.0000 0.0000 27.5052
Pm Nb C
6 3 3
Direct
0.0000 0.0000 0.1139
0.0000 0.0000 0.8861
0.3333 0.6667 0.5528
0.3333 0.6667 0.7806
0.6667 0.3333 0.2194
0.6667 0.3333 0.4472
0.0000 0.0000 0.0000
0.3333 0.6667 0.6667
0.6667 0.3333 0.3333
0.0000 0.0000 0.5000
0.3333 0.6667 0.1667
0.6667 0.3333 0.8333
```

Energy of formation from the pure elements   0.5614 eV per atom



DFT (PBE) results for a relaxed structure of TaTlTe2I.

Structure (POSCAR):
```
TaTlTe2I
1.0
5.4444 0.0000 0.0000
0.0000 5.4444 0.0000
0.0000 0.0000 5.8781
Ta Tl Te I
1 1 2 1
Direct
0.0000 0.0000 0.0000
0.5000 0.5000 0.5000
0.0000 0.5000 0.0000
0.5000 0.0000 0.0000
0.0000 0.0000 0.5000
```

Formation energy from raw total energies   -0.0269 eV/atom
Relative energy among the computed polymorphs   0.00 eV/f.u.



DFT (PBE) results for a relaxed structure of BaSb2MoI.

Structure (POSCAR):
```
BaSb2MoI
1.0
6.2849 0.0000 0.0000
0.0000 6.2849 0.0000
0.0000 0.0000 6.2213
Ba Sb Mo I
1 2 1 1
Direct
0.0000 0.0000 0.0000
0.0000 0.5000 0.0000
0.5000 0.0000 0.0000
0.5000 0.5000 0.5000
0.0000 0.0000 0.5000
```

Formation energy from raw total energies   1.7325 eV/atom
Relative energy among the computed polymorphs   9.73 eV/f.u.



Number 1: calculated volume 31.91 Å³/atom, size of the total moment 0.00 μB per cell. Number 2: calculated volume 18.67 Å³/atom, size of the total moment 3.95 μB per cell. Number 3: calculated volume 29.37 Å³/atom, size of the total moment 0.00 μB per cell. Number 4: calculated volume 23.56 Å³/atom, size of the total moment 3.95 μB per cell. Number 5: calculated volume 34.85 Å³/atom, size of the total moment 0.69 μB per cell. Number 6: calculated volume 49.15 Å³/atom, size of the total moment 1.37 μB per cell.